A relaxed structure of DyTl2Pd6, computed with PBE.

abc: 5.0403 5.0403 8.6011
angles: 103.17 103.17 50.31
Sites, in units of the cell vectors:
Dy  0.0000  0.0000  0.0000
Tl  0.3061  0.3061  0.7521
Tl  0.6939  0.6939  0.2479
Pd  0.0151  0.0151  0.3343
Pd  0.3402  0.3402  0.1097
Pd  0.3453  0.3453  0.4431
Pd  0.6547  0.6547  0.5569
Pd  0.6598  0.6598  0.8903
Pd  0.9849  0.9849  0.6657

Results
* uncorrected energy: -4.9055 eV per atom
* volume: 18.1 A^3/atom
* ΔE_f: -3.7 eV/f.u.

---

A relaxed structure of Dy4Tl3Pd, computed with PBE.

abc: 3.8383 4.8335 11.5861
angles: 90.00 90.00 90.00
Sites, in units of the cell vectors:
Dy  0.0000  0.0000  0.0000
Dy  0.0000  0.5000  0.2585
Dy  0.5000  0.0000  0.4505
Dy  0.5000  0.5000  0.7697
Tl  0.0000  0.0000  0.7099
Tl  0.0000  0.5000  0.5299
Tl  0.5000  0.5000  0.0356
Pd  0.5000  0.0000  0.2023

Results
* uncorrected energy: -4.2741 eV per atom
* volume: 26.9 A^3/atom
* relative energy among the computed polymorphs: 44.8 meV per atom
* ΔE_f: -3.5 eV/f.u.

---

A relaxed structure of DyTlPd2, computed with PBE.

abc: 3.5509 3.5509 6.5627
angles: 90.00 90.00 90.00
Sites, in units of the cell vectors:
Dy  0.0000  0.0000  0.0000
Tl  0.0000  0.0000  0.5000
Pd  0.5000  0.5000  0.2440
Pd  0.5000  0.5000  0.7560

Results
* uncorrected energy: -4.9052 eV per atom
* volume: 20.7 A^3/atom
* ΔE_f: -2.3 eV/f.u.

---

A relaxed structure of Dy4TlPd, computed with PBE.

abc: 7.7884 7.7884 6.2123
angles: 99.47 99.47 111.36
Sites, in units of the cell vectors:
Dy  0.0637  0.7170  0.9504
Dy  0.2043  0.3746  0.6027
Dy  0.2830  0.9363  0.5496
Dy  0.3746  0.2043  0.1027
Dy  0.6254  0.7957  0.8973
Dy  0.7170  0.0637  0.4504
Dy  0.7957  0.6254  0.3973
Dy  0.9363  0.2830  0.0496
Tl  0.3786  0.6214  0.2500
Tl  0.6214  0.3786  0.7500
Pd  0.0014  0.9986  0.2500
Pd  0.9986  0.0014  0.7500

Results
* uncorrected energy: -4.7066 eV per atom
* volume: 28.0 A^3/atom
* relative energy among the computed polymorphs: 88.5 meV per atom
* ΔE_f: -2.3 eV/f.u.

---

A relaxed structure of DyTlPd2, computed with PBE.

abc: 4.8410 4.8410 4.8410
angles: 60.00 60.00 60.00
Sites, in units of the cell vectors:
Dy  0.0000  0.0000  0.0000
Tl  0.5000  0.5000  0.5000
Pd  0.2500  0.2500  0.2500
Pd  0.7500  0.7500  0.7500

Results
* uncorrected energy: -4.9870 eV per atom
* volume: 20.1 A^3/atom
* ΔE_f: -2.6 eV/f.u.

---

A relaxed structure of Dy5Tl2Pd2, computed with PBE.

abc: 8.8649 8.8649 7.2491
angles: 90.00 90.00 57.74
Sites, in units of the cell vectors:
Dy  0.0000  0.0000  0.0000
Dy  0.0581  0.6966  0.6535
Dy  0.1966  0.5581  0.1535
Dy  0.3034  0.9419  0.6535
Dy  0.4419  0.8034  0.1535
Dy  0.5000  0.5000  0.5000
Dy  0.5581  0.1966  0.8465
Dy  0.6966  0.0581  0.3465
Dy  0.8034  0.4419  0.8465
Dy  0.9419  0.3034  0.3465
Tl  0.2117  0.2117  0.0000
Tl  0.2883  0.2883  0.5000
Tl  0.7117  0.7117  0.5000
Tl  0.7883  0.7883  0.0000
Pd  0.1216  0.8784  0.3641
Pd  0.3784  0.6216  0.8641
Pd  0.6216  0.3784  0.1359
Pd  0.8784  0.1216  0.6359

Results
* uncorrected energy: -4.7714 eV per atom
* volume: 26.8 A^3/atom
* ΔE_f: -4.8 eV/f.u.

---

A relaxed structure of Dy5Tl2Pd, computed with PBE.

abc: 7.2428 12.5652 4.8314
angles: 90.00 90.00 90.00
Sites, in units of the cell vectors:
Dy  0.0000  0.0000  0.0000
Dy  0.1277  0.2850  0.0000
Dy  0.1788  0.5850  0.5000
Dy  0.3212  0.0850  0.5000
Dy  0.3723  0.7850  0.0000
Dy  0.5000  0.5000  0.0000
Dy  0.6277  0.2150  0.0000
Dy  0.6788  0.9150  0.5000
Dy  0.8212  0.4150  0.5000
Dy  0.8723  0.7150  0.0000
Tl  0.1023  0.8392  0.5000
Tl  0.3977  0.3392  0.5000
Tl  0.6023  0.6608  0.5000
Tl  0.8977  0.1608  0.5000
Pd  0.0000  0.5000  0.0000
Pd  0.5000  0.0000  0.0000

Results
* uncorrected energy: -4.5320 eV per atom
* volume: 27.5 A^3/atom
* ΔE_f: -3.3 eV/f.u.

---

A relaxed structure of Dy11Tl9Pd4, computed with PBE.

abc: 13.3233 13.3233 3.7042
angles: 90.00 90.00 112.76
Sites, in units of the cell vectors:
Dy  0.0000  0.0000  0.0000
Dy  0.0758  0.4146  0.0000
Dy  0.1615  0.8385  0.0000
Dy  0.3080  0.3080  0.0000
Dy  0.3722  0.6278  0.0000
Dy  0.4146  0.0758  0.0000
Dy  0.5854  0.9242  0.0000
Dy  0.6278  0.3722  0.0000
Dy  0.6920  0.6920  0.0000
Dy  0.8385  0.1615  0.0000
Dy  0.9242  0.5854  0.0000
Tl  0.0686  0.2153  0.5000
Tl  0.1523  0.6308  0.5000
Tl  0.2153  0.0686  0.5000
Tl  0.3692  0.8477  0.5000
Tl  0.5000  0.5000  0.5000
Tl  0.6308  0.1523  0.5000
Tl  0.7847  0.9314  0.5000
Tl  0.8477  0.3692  0.5000
Tl  0.9314  0.7847  0.5000
Pd  0.2481  0.4492  0.5000
Pd  0.4492  0.2481  0.5000
Pd  0.5508  0.7519  0.5000
Pd  0.7519  0.5508  0.5000

Results
* uncorrected energy: -4.4215 eV per atom
* volume: 25.3 A^3/atom
* ΔE_f: -13.4 eV/f.u.

---

A relaxed structure of Dy4Tl3Pd, computed with PBE.

abc: 3.6120 3.6120 15.8530
angles: 90.00 90.00 90.00
Sites, in units of the cell vectors:
Dy  0.0000  0.0000  0.1058
Dy  0.0000  0.0000  0.3683
Dy  0.0000  0.0000  0.6317
Dy  0.0000  0.0000  0.8942
Tl  0.5000  0.5000  0.2391
Tl  0.5000  0.5000  0.5000
Tl  0.5000  0.5000  0.7609
Pd  0.5000  0.5000  0.0000

Results
* uncorrected energy: -4.3189 eV per atom
* volume: 25.9 A^3/atom
* relative energy among the computed polymorphs: 0.0 meV per atom
* ΔE_f: -3.9 eV/f.u.

---

A relaxed structure of Dy2TlPd, computed with PBE.

abc: 8.4654 8.4654 8.4654
angles: 27.12 27.12 27.12
Sites, in units of the cell vectors:
Dy  0.0000  0.0000  0.0000
Dy  0.1984  0.1984  0.1984
Tl  0.4323  0.4323  0.4323
Pd  0.5980  0.5980  0.5980

Results
* uncorrected energy: -4.6666 eV per atom
* volume: 27.8 A^3/atom
* ΔE_f: -1.9 eV/f.u.

---

A relaxed structure of DyTl6Pd12, computed with PBE.

abc: 7.3951 7.3951 7.3951
angles: 102.51 102.51 102.51
Sites, in units of the cell vectors:
Dy  0.0000  0.0000  0.0000
Tl  0.1513  0.2014  0.4537
Tl  0.2014  0.4537  0.1513
Tl  0.4537  0.1513  0.2014
Tl  0.5463  0.8487  0.7986
Tl  0.7986  0.5463  0.8487
Tl  0.8487  0.7986  0.5463
Pd  0.0175  0.7411  0.2427
Pd  0.1836  0.6117  0.5736
Pd  0.2427  0.0175  0.7411
Pd  0.2589  0.7573  0.9825
Pd  0.3883  0.4264  0.8164
Pd  0.4264  0.8164  0.3883
Pd  0.5736  0.1836  0.6117
Pd  0.6117  0.5736  0.1836
Pd  0.7411  0.2427  0.0175
Pd  0.7573  0.9825  0.2589
Pd  0.8164  0.3883  0.4264
Pd  0.9825  0.2589  0.7573

Results
* uncorrected energy: -4.4051 eV per atom
* volume: 19.5 A^3/atom
* ΔE_f: -2.6 eV/f.u.

---

A relaxed structure of Dy6TlPd2, computed with PBE.

abc: 8.5902 8.5902 8.5902
angles: 113.12 110.07 105.32
Sites, in units of the cell vectors:
Dy  0.0360  0.2364  0.7996
Dy  0.1832  0.2904  0.4736
Dy  0.1832  0.7096  0.8928
Dy  0.3271  0.0261  0.6990
Dy  0.3271  0.6281  0.3010
Dy  0.4368  0.2364  0.2004
Dy  0.5632  0.7636  0.7996
Dy  0.6729  0.3719  0.6990
Dy  0.6729  0.9739  0.3010
Dy  0.8168  0.2904  0.1072
Dy  0.8168  0.7096  0.5264
Dy  0.9640  0.7636  0.2004
Tl  0.0000  0.0000  0.0000
Tl  0.5000  0.5000  0.0000
Pd  0.1329  0.6329  0.5000
Pd  0.3470  0.0000  0.3470
Pd  0.6530  0.0000  0.6530
Pd  0.8671  0.3671  0.5000

Results
* uncorrected energy: -4.9959 eV per atom
* volume: 27.0 A^3/atom
* ΔE_f: -4.6 eV/f.u.